Entry 1:
VASP calculation (PBE-GGA) on a relaxed structure of ZrGaFePt.

The structure in CIF format:
```
data_ZrGaFePt
_cell_length_a 6.310
_cell_length_b 6.310
_cell_length_c 6.310
_cell_angle_alpha 90.00
_cell_angle_beta 90.00
_cell_angle_gamma 90.00
_symmetry_space_group_name_H-M 'P 1'
_symmetry_Int_Tables_number 1
loop_
_symmetry_equiv_pos_as_xyz
'x,y,z'
loop_
_atom_site_label
_atom_site_fract_x
_atom_site_fract_y
_atom_site_fract_z
Zr1 0.000 0.000 0.000
Zr2 0.000 0.500 0.500
Zr3 0.500 0.000 0.500
Zr4 0.500 0.500 0.000
Ga1 0.000 0.000 0.500
Ga2 0.000 0.500 0.000
Ga3 0.500 0.000 0.000
Ga4 0.500 0.500 0.500
Fe1 0.250 0.250 0.750
Fe2 0.250 0.750 0.250
Fe3 0.750 0.250 0.250
Fe4 0.750 0.750 0.750
Pt1 0.250 0.250 0.250
Pt2 0.250 0.750 0.750
Pt3 0.750 0.250 0.750
Pt4 0.750 0.750 0.250
```

Its space group is F-43m. The value obtained for the energy above the most stable polymorph in this dataset is 0.00 eV per formula unit.

Entry 2:
VASP calculation (PBE-GGA) on a relaxed structure of ZrGaFePt.

The structure in CIF format:
```
data_ZrGaFePt
_cell_length_a 6.420
_cell_length_b 6.420
_cell_length_c 6.420
_cell_angle_alpha 90.00
_cell_angle_beta 90.00
_cell_angle_gamma 90.00
_symmetry_space_group_name_H-M 'P 1'
_symmetry_Int_Tables_number 1
loop_
_symmetry_equiv_pos_as_xyz
'x,y,z'
loop_
_atom_site_label
_atom_site_fract_x
_atom_site_fract_y
_atom_site_fract_z
Zr1 0.000 0.000 0.000
Zr2 0.000 0.500 0.500
Zr3 0.500 0.000 0.500
Zr4 0.500 0.500 0.000
Ga1 0.250 0.250 0.250
Ga2 0.250 0.750 0.750
Ga3 0.750 0.250 0.750
Ga4 0.750 0.750 0.250
Fe1 0.000 0.000 0.500
Fe2 0.000 0.500 0.000
Fe3 0.500 0.000 0.000
Fe4 0.500 0.500 0.500
Pt1 0.250 0.250 0.750
Pt2 0.250 0.750 0.250
Pt3 0.750 0.250 0.250
Pt4 0.750 0.750 0.750
```

Its space group is F-43m. The value obtained for the energy above the most stable polymorph in this dataset is 0.63 eV per formula unit.

| no. | density (g/cm³) |
| --- | --- |
| 1 | 10.9 |
| 2 | 10.3 |